The following is a PBE-GGA calculation of crystalline Ti4Si2Mo at its relaxed geometry, from Alexandria.

Cell: 4.366 4.366 7.754 Å, 73.65 73.65 60.00°
Fractional positions:
1 Ti 0.876 0.876 0.372
2 Ti 0.124 0.124 0.628
3 Ti 0.725 0.725 0.825
4 Si 0.611 0.611 0.167
5 Si 0.389 0.389 0.833
6 Mo 0.500 0.500 0.500
7 Ti 0.275 0.275 0.175

Summary:
total energy	-0.5736	Ry per atom
DOS at the Fermi energy	7.29	states/eV/f.u.